# 1
Below is a PBEsol-optimized structure of SrTcAg2Pt, with properties calculated at the SCAN level.

The electronic total energy comes out at -188.230 eV per cell. The calculation puts the total magnetization at 0.931 μB per cell. As for the crystal system: tetragonal. Its formation enthalpy at 0 K is 406 meV per atom. As for the mass density: 8.27 Mg/m³.

a b c (Å): 5.0296 5.0296 4.7350
angles (deg): 90.00 90.00 90.00
Fractional positions:
Sr  0.0000  0.0000  0.0000
Tc  0.5000  0.5000  0.5000
Ag  0.0000  0.5000  0.5000
Ag  0.5000  0.0000  0.5000
Pt  0.5000  0.5000  0.0000



# 2
Below is a PBEsol-optimized structure of SrZr2Fe, with properties calculated at the SCAN level.

The electronic total energy comes out at -98.876 eV per cell. The calculation puts the total magnetization at 0.200 μB per cell. The offset from the most stable computed form comes out at 1.22 eV per formula unit. As for the crystal system: cubic. Its formation enthalpy at 0 K is 732 meV per atom. As for the mass density: 6.77 Mg/m³.

a b c (Å): 4.8344 4.8344 4.8344
angles (deg): 60.00 60.00 60.00
Fractional positions:
Sr  0.0000  0.0000  0.0000
Zr  0.2500  0.2500  0.2500
Zr  0.7500  0.7500  0.7500
Fe  0.5000  0.5000  0.5000